5
Lattice="5.983 0.000 0.000 0.000 5.983 0.000 0.000 0.000 5.983" Properties=species:S:1:pos:R:3 comment="Ca3YPd, relaxed, DFT PBE-GGA" formation_enthalpy_0k_ev_per_atom=1.124 relative_energy_mev_per_atom=1246.1 space_group="No. 221" n_ef_per_ev_cell=4.44 pbc="T T T"
Ca 0.000 0.000 2.992
Pd 2.992 2.992 2.992
Y 0.000 0.000 0.000
Ca 0.000 2.992 0.000
Ca 2.992 0.000 0.000